Entry 1:
! Sr4Li2P | the Alexandria database | PBE-GGA | optimized geometry; values from VASP
&SYSTEM
  ibrav = 0, nat = 14, ntyp = 3
/
ATOMIC_SPECIES
Sr 87.62 Sr.upf
Li 6.94 Li.upf
P 30.97 P.upf
ATOMIC_POSITIONS crystal
Sr 0.000 0.000 0.173
Sr 0.000 0.000 0.827
Sr 0.000 0.500 0.000
Sr 0.000 0.500 0.500
Sr 0.500 0.000 0.000
Sr 0.500 0.000 0.500
Sr 0.500 0.500 0.327
Sr 0.500 0.500 0.673
Li 0.000 0.000 0.371
Li 0.000 0.000 0.629
Li 0.500 0.500 0.129
Li 0.500 0.500 0.871
P 0.000 0.000 0.000
P 0.500 0.500 0.500
CELL_PARAMETERS angstrom
5.860 0.000 0.000
0.000 5.860 0.000
0.000 0.000 17.578
! mass density	2.175	g/cm³
! ΔH_f (0 K)	-0.244	eV per atom
! SG	I4/mmm (139)


Entry 2:
! Pm4TlAgO | the Alexandria database | PBE-GGA | optimized geometry; values from VASP
&SYSTEM
  ibrav = 0, nat = 14, ntyp = 4
/
ATOMIC_SPECIES
Pm 145.00 Pm.upf
Tl 204.38 Tl.upf
Ag 107.87 Ag.upf
O 16.00 O.upf
ATOMIC_POSITIONS crystal
Pm 0.000 0.500 0.000
Pm 0.000 0.500 0.500
Pm 0.065 0.935 0.750
Pm 0.421 0.579 0.750
Pm 0.500 0.000 0.000
Pm 0.500 0.000 0.500
Pm 0.579 0.421 0.250
Pm 0.935 0.065 0.250
Tl 0.384 0.616 0.250
Tl 0.616 0.384 0.750
Ag 0.121 0.879 0.250
Ag 0.879 0.121 0.750
O 0.256 0.744 0.750
O 0.744 0.256 0.250
CELL_PARAMETERS angstrom
3.447 -7.843 0.000
3.447 7.843 0.000
0.000 0.000 6.908
! mass density	8.076	g/cm³
! energy relative to the elements, uncorrected	-0.9429	eV/atom
! SG	Cmcm (63)


Entry 3:
! CaFe2I | the Alexandria database | PBE-GGA | optimized geometry; values from VASP
&SYSTEM
  ibrav = 0, nat = 16, ntyp = 3
/
ATOMIC_SPECIES
Ca 40.08 Ca.upf
Fe 55.84 Fe.upf
I 126.90 I.upf
ATOMIC_POSITIONS crystal
Ca 0.000 0.000 0.000
Ca 0.000 0.500 0.250
Ca 0.500 0.000 0.750
Ca 0.500 0.500 0.500
Fe 0.209 0.250 0.625
Fe 0.250 0.709 0.875
Fe 0.250 0.791 0.375
Fe 0.291 0.250 0.125
Fe 0.709 0.750 0.125
Fe 0.750 0.209 0.375
Fe 0.750 0.291 0.875
Fe 0.791 0.750 0.625
I 0.000 0.000 0.500
I 0.000 0.500 0.750
I 0.500 0.000 0.250
I 0.500 0.500 0.000
CELL_PARAMETERS angstrom
8.091 0.000 0.000
0.000 8.091 0.000
0.000 0.000 5.729
! mass density	4.935	g/cm³
! energy above the lowest structure with this stoichiometry	0.000	eV per atom
! energy relative to the elements, uncorrected	0.7273	eV/atom
! SG	I-42d (122)


Entry 4:
! Cd2AgBr | the Alexandria database | PBE-GGA | optimized geometry; values from VASP
&SYSTEM
  ibrav = 0, nat = 4, ntyp = 3
/
ATOMIC_SPECIES
Cd 112.41 Cd.upf
Ag 107.87 Ag.upf
Br 79.90 Br.upf
ATOMIC_POSITIONS crystal
Cd 0.000 0.000 0.225
Cd 0.000 0.000 0.775
Ag 0.500 0.500 0.000
Br 0.500 0.500 0.500
CELL_PARAMETERS angstrom
3.362 0.000 0.000
0.000 3.409 0.000
0.000 0.000 8.064
! mass density	7.413	g/cm³
! energy above the lowest structure with this stoichiometry	0.074	eV per atom
! energy relative to the elements, uncorrected	-0.0830	eV/atom
! SG	Pmmm (47)


Entry 5:
! Ca8GeRh2 | the Alexandria database | PBE-GGA | optimized geometry; values from VASP
&SYSTEM
  ibrav = 0, nat = 11, ntyp = 3
/
ATOMIC_SPECIES
Ca 40.08 Ca.upf
Ge 72.64 Ge.upf
Rh 102.91 Rh.upf
ATOMIC_POSITIONS crystal
Ca 0.000 0.000 0.000
Ca 0.037 0.305 0.597
Ca 0.135 0.597 0.193
Ca 0.305 0.037 0.597
Ca 0.435 0.703 0.769
Ca 0.597 0.135 0.193
Ca 0.703 0.435 0.769
Ca 0.739 0.739 0.392
Ge 0.366 0.366 0.306
Rh 0.058 0.688 0.698
Rh 0.688 0.058 0.698
CELL_PARAMETERS angstrom
4.455 -6.615 0.000
4.455 6.615 0.000
-1.585 0.000 5.562
! mass density	3.035	g/cm³
! ΔH_f (0 K)	-0.313	eV per atom
! SG	Cm (8)


Entry 6:
! BW | the Alexandria database | PBE-GGA | optimized geometry; values from VASP
&SYSTEM
  ibrav = 0, nat = 8, ntyp = 2
/
ATOMIC_SPECIES
B 10.81 B.upf
W 183.84 W.upf
ATOMIC_POSITIONS crystal
B 0.000 0.174 0.000
B 0.000 0.826 0.000
B 0.500 0.326 0.500
B 0.500 0.674 0.500
W 0.000 0.500 0.251
W 0.000 0.500 0.749
W 0.500 0.000 0.249
W 0.500 0.000 0.751
CELL_PARAMETERS angstrom
3.080 0.000 0.000
0.000 5.038 0.000
0.000 0.000 6.006
! mass density	13.874	g/cm³
! ΔH_f (0 K)	-0.149	eV per atom
! energy above the lowest structure with this stoichiometry	0.220	eV per atom
! SG	Immm (71)


no.,total moment (μB/cell)
1,0.00
2,0.00
3,23.72
4,0.00
5,0.00
6,0.00